1.
First-principles (GGA-PBE) data for a relaxed structure of YP2IrRu, as listed in Alexandria.

Summary:
DFT total energy: -8.05 eV/atom
Symmetry: I-4m2, No. 119

a = 5.6443 Å, b = 5.6443 Å, c = 5.6443 Å
α = 138.25°, β = 138.25°, γ = 60.52°
Last column: nearest neighbours and their distance in Å.
Fractional coordinates of all 5 atoms:
Y1 0.0000 0.0000 0.0000  8 P 3.07, 4 Ru 3.16, 4 Ir 3.16
P1 0.3819 0.3819 0.0000  1 P 2.30, 2 Ru 2.39, 2 Ir 2.39
P2 0.6181 0.6181 0.0000  1 P 2.30, 2 Ru 2.39, 2 Ir 2.39
Ir1 0.7500 0.2500 0.5000  4 P 2.39
Ru1 0.2500 0.7500 0.5000  4 P 2.39

---

2.
First-principles (GGA-PBE) data for a relaxed structure of Y2P4Ir3Ru, as listed in Alexandria.

Summary:
DFT total energy: -8.05 eV/atom
Symmetry: P-4m2, No. 115

a = 4.1580 Å, b = 4.1580 Å, c = 9.4164 Å
α = 90.00°, β = 90.00°, γ = 90.00°
Last column: nearest neighbours and their distance in Å.
Fractional coordinates of all 10 atoms:
Y1 0.0000 0.5000 0.2391  8 P 3.06-3.17, 7 Ir 3.16-3.34, 2 Ru 3.22
Y2 0.5000 0.0000 0.7609  8 P 3.06-3.17, 7 Ir 3.16-3.34, 2 Ru 3.22
P1 0.0000 0.0000 0.0000  4 Ir 2.35
P2 0.0000 0.5000 0.6337  3 Ir 2.36-2.43, 2 Ru 2.43
P3 0.5000 0.0000 0.3663  3 Ir 2.36-2.43, 2 Ru 2.43
P4 0.5000 0.5000 0.0000  4 Ir 2.35
Ir1 0.0000 0.5000 0.8846  5 P 2.35-2.36
Ir2 0.5000 0.0000 0.1154  5 P 2.35-2.36
Ir3 0.5000 0.5000 0.5000  4 P 2.43
Ru1 0.0000 0.0000 0.5000  4 P 2.43